HgP2OsS | PBE-GGA | optimized geometry

The value obtained for the uncorrected formation energy is 12.960 kcal/mol of atoms. The distance to the lowest polymorph of the same formula is 0 kJ/mol of formula units.

The space group is P4/mmm (No. 123) and the conventional cell measures 4.465, 4.465 and 5.391 Å, with angles of 90.00, 90.00 and 90.00 degrees. The inequivalent atoms are Hg at (0.000, 0.000, 0.000), P at (0.000, 0.500, 0.500), Os at (0.500, 0.500, 0.500) and S at (0.500, 0.500, 0.000).

=====

SrCa2La | PBE-GGA | optimized geometry

The distance to the lowest polymorph of the same formula is 15 kJ/mol of formula units.

The space group is Imm2 (No. 44) and the conventional cell measures 4.267, 6.329 and 12.671 Å, with angles of 90.00, 90.00 and 90.00 degrees. The inequivalent atoms are Sr at (0.000, 0.000, 0.000), Ca at (0.000, 0.000, 0.493), Ca at (0.000, 0.500, 0.753) and La at (0.000, 0.500, 0.239).

=====

LiCo4Pb | PBE-GGA | optimized geometry

The space group is F-43m (No. 216) and the conventional cell measures 6.886, 6.886 and 6.886 Å, with angles of 90.00, 90.00 and 90.00 degrees. The inequivalent atoms are Li at (0.000, 0.000, 0.000), Co at (0.126, 0.126, 0.626) and Pb at (0.250, 0.250, 0.250).

=====

CeThSc4 | PBE-GGA | optimized geometry

The space group is Immm (No. 71) and the conventional cell measures 5.302, 6.562 and 9.198 Å, with angles of 90.00, 90.00 and 90.00 degrees. The inequivalent atoms are Ce at (0.000, 0.000, 0.000), Th at (0.000, 0.500, 0.000) and Sc at (0.000, 0.250, 0.333).

=====

Taking the records one at a time from the top gives total energy values of -23.7, -20.4, -131.2, -76.8 eV for the cell shown.